Record 1
A plane-wave DFT calculation with PBE-GGA was carried out for DyMg2P2Pt7 after structural relaxation.

Lattice parameters (Å, degrees): 3.972 3.972 13.795 97.37 97.37 89.67
Fractional coordinates of all 12 atoms:
Dy 0.000 0.000 0.000
Mg 0.093 0.093 0.392
Mg 0.907 0.907 0.608
P 0.389 0.389 0.740
P 0.611 0.611 0.260
Pt 0.072 0.573 0.163
Pt 0.390 0.390 0.576
Pt 0.427 0.928 0.837
Pt 0.500 0.500 0.000
Pt 0.573 0.072 0.163
Pt 0.610 0.610 0.424
Pt 0.928 0.427 0.837

Calculated values
calculated density: 12.710 g/cm3
magnetic moment: 0.0000 μB per atom
total energy: -70.2 eV per cell

Record 2
A plane-wave DFT calculation with PBE-GGA was carried out for Tm4HfRu5 after structural relaxation.

Lattice parameters (Å, degrees): 3.322 3.322 16.719 90.00 90.00 90.00
Fractional coordinates of all 10 atoms:
Tm 0.000 0.000 0.101
Tm 0.000 0.000 0.301
Tm 0.000 0.000 0.699
Tm 0.000 0.000 0.899
Hf 0.000 0.000 0.500
Ru 0.500 0.500 0.000
Ru 0.500 0.500 0.202
Ru 0.500 0.500 0.408
Ru 0.500 0.500 0.592
Ru 0.500 0.500 0.798

Calculated values
calculated density: 12.237 g/cm3
magnetic moment: 0.0000 μB per atom
total energy: -79.3 eV per cell

Record 3
A plane-wave DFT calculation with PBE-GGA was carried out for TlInBr after structural relaxation.

Lattice parameters (Å, degrees): 8.071 7.681 3.788 81.89 70.42 27.69
Fractional coordinates of all 3 atoms:
Tl 0.000 0.000 0.000
In 0.680 0.680 0.320
Br 0.329 0.329 0.671

Calculated values
excess energy over the best structure of this formula in the dataset: 0.65 kcal/mol of atoms
calculated density: 6.896 g/cm3
energy relative to the elements, uncorrected: -299 meV/atom
magnetic moment: 0.0000 μB per atom

Record 4
A plane-wave DFT calculation with PBE-GGA was carried out for CdIn2Se4 after structural relaxation.

Lattice parameters (Å, degrees): 8.176 8.176 8.176 60.00 60.00 60.00
Fractional coordinates of all 14 atoms:
Cd 0.125 0.125 0.125
Cd 0.875 0.875 0.875
In 0.000 0.500 0.500
In 0.500 0.000 0.500
In 0.500 0.500 0.000
In 0.500 0.500 0.500
Se 0.259 0.259 0.259
Se 0.259 0.259 0.722
Se 0.259 0.722 0.259
Se 0.278 0.741 0.741
Se 0.722 0.259 0.259
Se 0.741 0.278 0.741
Se 0.741 0.741 0.278
Se 0.741 0.741 0.741

Calculated values
excess energy over the best structure of this formula in the dataset: 0.85 kcal/mol of atoms
calculated density: 5.654 g/cm3
energy relative to the elements, uncorrected: -545 meV/atom
magnetic moment: 0.0000 μB per atom

Record 5
A plane-wave DFT calculation with PBE-GGA was carried out for Fe2Pb after structural relaxation.

Lattice parameters (Å, degrees): 5.681 5.681 5.681 129.68 129.68 73.92
Fractional coordinates of all 6 atoms:
Fe 0.202 0.702 0.905
Fe 0.298 0.202 0.500
Fe 0.702 0.798 0.500
Fe 0.798 0.298 0.095
Pb 0.250 0.250 0.000
Pb 0.750 0.750 0.000

Calculated values
calculated density: 9.996 g/cm3
magnetic moment: 1.6360 μB per atom
total energy: -38.1 eV per cell

Record 6
A plane-wave DFT calculation with PBE-GGA was carried out for Tb4Tl2Sb after structural relaxation.

Lattice parameters (Å, degrees): 8.092 8.092 8.092 109.56 109.56 109.30
Fractional coordinates of all 14 atoms:
Tb 0.124 0.232 0.748
Tb 0.125 0.734 0.752
Tb 0.266 0.018 0.392
Tb 0.484 0.375 0.252
Tb 0.625 0.876 0.108
Tb 0.626 0.875 0.608
Tb 0.768 0.516 0.892
Tb 0.982 0.374 0.248
Tl 0.252 0.625 0.127
Tl 0.375 0.502 0.627
Tl 0.498 0.125 0.873
Tl 0.875 0.748 0.373
Sb 0.000 0.000 0.000
Sb 0.750 0.250 0.500

Calculated values
calculated density: 9.495 g/cm3
energy relative to the elements, uncorrected: -534 meV/atom
magnetic moment: 0.0000 μB per atom